--- one ---
Density functional theory data (PBE-GGA) for a geometry-optimized AcPrSb structure.

a b c (Å): 7.692 7.692 7.692
angles (deg): 90.00 90.00 90.00
Space group F-43m (No. 216)
Asymmetric unit:
Ac  0.000  0.000  0.000 (multiplicity 4)
Pr  0.000  0.000  0.500 (multiplicity 4)
Sb  0.250  0.250  0.750 (multiplicity 4)

Output
N(E_F): 2.9 states/eV/f.u.


--- two ---
Density functional theory data (PBE-GGA) for a geometry-optimized AcPrSb structure.

a b c (Å): 4.789 4.789 9.222
angles (deg): 90.00 90.00 90.00
Space group P4/nmm (No. 129, origin choice 2)
Asymmetric unit:
Ac  0.250  0.250  0.147 (multiplicity 2)
Pr  0.250  0.750  0.500 (multiplicity 2)
Sb  0.250  0.250  0.767 (multiplicity 2)

Output
N(E_F): 3.5 states/eV/f.u.


Which of them is the least stable? Correct choice: one.